A relaxed structure of CeY5Pb6, computed with PBE-GGA.

Properties
E_form in eV per atom: -0.445
Raw total energy in eV/cell: -65.8
E above lowest polymorph in meV per atom: 3.0
Symmetry: C2/m (12)

a b c (Å): 9.170 9.170 5.080
angles (deg): 105.91 105.91 58.05
Sites, in units of the cell vectors:
Ce: 0.000 0.000 0.000
Y: 0.168 0.168 0.668
Y: 0.333 0.333 0.333
Y: 0.500 0.500 0.000
Y: 0.667 0.667 0.667
Y: 0.832 0.832 0.332
Pb: 0.084 0.581 0.832
Pb: 0.253 0.747 0.500
Pb: 0.419 0.916 0.168
Pb: 0.581 0.084 0.832
Pb: 0.747 0.253 0.500
Pb: 0.916 0.419 0.168